i) Compound: Zr2MnBr
Source: the Alexandria database
Functional: PBE
Structure: relaxed

Cell: 3.2257 4.6187 5.4043 Å, 90.00 107.28 90.00°
Closest atoms and distances in Å follow each position.
Sites, in units of the cell vectors:
Zr: 0.0000 0.0000 0.0000  3 Mn 2.68-2.96, 4 Br 2.86
Zr: 0.2759 0.5000 0.5561  3 Br 2.78-2.88, 4 Mn 2.84
Mn: 0.7377 0.0000 0.4809  7 Zr 2.68-2.96
Br: 0.5454 0.5000 0.0940  7 Zr 2.78-2.88, 2 Mn 3.05

Properties
space-group type: Pm
M_tot: 2.17 Bohr magnetons per cell
volume: 19.221 Å³/atom

***

ii) Compound: Zr2MnBr
Source: the Alexandria database
Functional: PBE
Structure: relaxed

Cell: 4.9044 4.9044 4.9044 Å, 60.00 60.00 60.00°
Closest atoms and distances in Å follow each position.
Sites, in units of the cell vectors:
Zr: 0.0000 0.0000 0.0000  4 Zr 3.00, 4 Br 3.00
Zr: 0.2500 0.2500 0.2500  4 Zr 3.00, 4 Mn 3.00
Mn: 0.5000 0.5000 0.5000  4 Br 3.00, 4 Zr 3.00
Br: 0.7500 0.7500 0.7500  4 Mn 3.00, 4 Zr 3.00

Properties
space-group type: F-43m
M_tot: 1.45 Bohr magnetons per cell
volume: 20.853 Å³/atom

***

The most stable of them is i).

***

i) Compound: Zr2MnBr
Source: the Alexandria database
Functional: PBE
Structure: relaxed

Cell: 3.1773 3.2451 7.9581 Å, 90.00 90.00 90.00°
Closest atoms and distances in Å follow each position.
Sites, in units of the cell vectors:
Zr: 0.0000 0.0000 0.1954  4 Mn 2.75, 2 Br 2.90
Zr: 0.0000 0.0000 0.8046  4 Mn 2.75, 2 Br 2.90
Mn: 0.5000 0.5000 0.0000  8 Zr 2.75
Br: 0.5000 0.0000 0.5000  4 Zr 2.90, 4 Br 3.18-3.25

Properties
space-group type: Pmmm
M_tot: 0.00 Bohr magnetons per cell
volume: 20.513 Å³/atom

***

ii) Compound: Zr2MnBr
Source: the Alexandria database
Functional: PBE
Structure: relaxed

Cell: 5.8325 5.8325 5.8325 Å, 148.08 128.24 62.11°
Closest atoms and distances in Å follow each position.
Sites, in units of the cell vectors:
Zr: 0.0000 0.0000 0.0000  2 Mn 2.89, 4 Br 3.01, 4 Zr 3.16-3.21
Zr: 0.7279 0.2279 0.5000  2 Br 2.90, 4 Mn 3.01, 4 Zr 3.16-3.21
Mn: 0.2406 0.7406 0.5000  6 Zr 2.89-3.01, 2 Br 2.93, 2 Mn 3.21
Br: 0.4862 0.4862 0.0000  6 Zr 2.90-3.01, 2 Mn 2.93, 2 Br 3.21

Properties
space-group type: Imm2
M_tot: 3.14 Bohr magnetons per cell
volume: 20.400 Å³/atom

***

The most stable of them is i).

***

i) Compound: Zr2MnBr
Source: the Alexandria database
Functional: PBE
Structure: relaxed

Cell: 3.8505 3.8505 7.9155 Å, 106.20 106.20 51.18°
Closest atoms and distances in Å follow each position.
Sites, in units of the cell vectors:
Zr: 0.1994 0.1994 0.3145  1 Mn 2.31
Zr: 0.8006 0.8006 0.6855  1 Mn 2.31
Mn: 0.0000 0.0000 0.5000  2 Zr 2.31
Br: 0.5000 0.5000 0.0000  4 Zr 2.96

Properties
space-group type: C2/m
M_tot: 0.00 Bohr magnetons per cell
volume: 21.738 Å³/atom

***

ii) Compound: Zr2MnBr
Source: the Alexandria database
Functional: PBE
Structure: relaxed

Cell: 5.1766 5.1766 5.1766 Å, 136.88 120.59 76.19°
Closest atoms and distances in Å follow each position.
Sites, in units of the cell vectors:
Zr: 0.2409 0.2409 0.0000  2 Mn 2.73, 2 Br 2.84
Zr: 0.7591 0.7591 0.0000  2 Mn 2.73, 2 Br 2.84
Mn: 0.0000 0.5000 0.5000  4 Zr 2.73
Br: 0.5000 0.0000 0.5000  4 Zr 2.84

Properties
space-group type: Immm
M_tot: 1.98 Bohr magnetons per cell
volume: 19.882 Å³/atom

***

The most stable of them is i).